Computed, not measured: crystalline BeFeSiW at its relaxed geometry at the PBE-GGA level of DFT.

Summary:
space group: F-43m
distance to the lowest polymorph of the same formula: 35 meV/atom
mass density: 9.78 Mg/m³
total DFT energy (no corrections): -29.98 eV per cell

The structure in POSCAR format:
```
BeFeSiW
1.0
0.0000 2.8641 2.8641
2.8641 0.0000 2.8641
2.8641 2.8641 0.0000
Be Fe Si W
1 1 1 1
Direct
0.0000 0.0000 0.0000
0.5000 0.5000 0.5000
0.2500 0.2500 0.2500
0.7500 0.7500 0.7500
```